(1)
Ag2TePd2: relaxed, PBE.

SG = No. 139
magnetization = 0.0000 μB/atom
E_tot = -18.030 eV/cell

```
5
Lattice="3.8585 0.0000 0.0000 0.0000 3.8585 0.0000 1.9293 1.9293 6.7943" Properties=species:S:1:pos:R:3 pbc="T T T"
Ag 1.9293 1.9293 1.3966
Te 0.0000 0.0000 0.0000
Pd 3.8585 1.9293 3.3971
Ag 3.8585 3.8585 5.3976
Pd 1.9293 3.8585 3.3971
```

(2)
Fe2SbPt2: relaxed, PBE.

SG = No. 127
magnetization = 0.0000 μB/atom
E_tot = -64.489 eV/cell

```
10
Lattice="6.3424 0.0000 0.0000 0.0000 6.3424 0.0000 0.0000 0.0000 3.7681" Properties=species:S:1:pos:R:3 pbc="T T T"
Fe 5.5503 3.9633 0.0000
Sb 3.1712 3.1712 0.0000
Pt 4.1727 5.3409 1.8840
Fe 0.7921 2.3791 0.0000
Pt 1.0015 4.1727 1.8840
Fe 3.9633 0.7921 0.0000
Pt 2.1697 1.0015 1.8840
Pt 5.3409 2.1697 1.8840
Sb 0.0000 0.0000 0.0000
Fe 2.3791 5.5503 0.0000
```

(3)
TbPrIn2Se4: relaxed, PBE.

SG = No. 10
magnetization = 0.0000 μB/atom
E_tot = -39.153 eV/cell

```
8
Lattice="4.2434 0.0000 0.0000 0.0000 8.0924 -0.4240 0.0000 2.5838 6.8881" Properties=species:S:1:pos:R:3 pbc="T T T"
In 0.0000 2.5838 6.8881
In 2.1217 1.2919 3.4440
Pr 2.1218 6.6300 6.6761
Se 2.1218 6.4544 1.5671
Tb 0.0000 5.3381 3.2321
Se 4.2434 2.9415 1.5789
Se 0.0001 7.7347 4.8852
Se 2.1217 4.2218 4.8969
```

(4)
Li8TlGe2: relaxed, PBE.

energy of formation = -0.254 eV per atom
SG = No. 71
magnetization = 0.0000 μB/atom

```
11
Lattice="4.2033 0.0000 -1.2792 -1.0668 6.1718 -3.5053 -0.0543 0.0009 7.3666" Properties=species:S:1:pos:R:3 pbc="T T T"
Tl 2.1017 0.0000 -0.6396
Li 0.8160 3.3479 2.6812
Li 2.2662 2.8248 -0.0990
Li 0.4802 0.9790 1.5779
Li 3.4191 4.2231 3.6893
Ge 3.0041 1.8400 2.3255
Ge 0.0781 4.3328 0.2566
Li -0.3370 1.9496 -1.1072
Li 1.8357 5.3153 -1.5136
Li 2.6019 5.1937 1.0042
Li 1.2465 0.8575 4.0957
```